The following is a GGA-PBE calculation of a relaxed SiTe2Se crystal, from Alexandria. Values from VASP.

- space group = I4/mmm
- E (eV per atom) = -3.565
- formation energy without anion corrections (eV per atom) = 0.233

The structure in Quantum ESPRESSO input format:
```
&SYSTEM
  ibrav = 0, nat = 4, ntyp = 3
/
ATOMIC_SPECIES
Si 28.09 Si.upf
Te 127.60 Te.upf
Se 78.96 Se.upf
CELL_PARAMETERS angstrom
-2.9967 2.9967 2.9832
2.9967 -2.9967 2.9832
2.9967 2.9967 -2.9832
ATOMIC_POSITIONS crystal
Si 0.0000 0.0000 0.0000
Te 0.0000 0.5000 0.5000
Te 0.5000 0.0000 0.5000
Se 0.5000 0.5000 0.0000
```

***

The following is a GGA-PBE calculation of a relaxed SiTe2Se crystal, from Alexandria. Values from VASP.

- space group = P4mm
- E (eV per atom) = -3.524
- formation energy without anion corrections (eV per atom) = 0.274

The structure in Quantum ESPRESSO input format:
```
&SYSTEM
  ibrav = 0, nat = 4, ntyp = 3
/
ATOMIC_SPECIES
Si 28.09 Si.upf
Te 127.60 Te.upf
Se 78.96 Se.upf
CELL_PARAMETERS angstrom
3.1518 0.0000 0.0000
0.0000 3.1518 0.0000
0.0000 0.0000 11.4838
ATOMIC_POSITIONS crystal
Si 0.0000 0.0000 0.0000
Te 0.0000 0.0000 0.5845
Te 0.5000 0.5000 0.2373
Se 0.5000 0.5000 0.8931
```